1.
DFT (PBE-GGA) results for a relaxed RbTaTeAuSe2 crystal.

a b c (Å): 8.6010 8.6010 10.5014
angles (deg): 90.00 90.00 154.69
Closest atoms and distances in Å follow each position.
Fractional coordinates of all 12 atoms:
Au (0.4582, 0.5418, 0.2500)  2 Se 2.54, 2 Te 2.81
Au (0.5418, 0.4582, 0.7500)  2 Se 2.54, 2 Te 2.81
Rb (0.7734, 0.2266, 0.2500)  4 Se 3.53, 2 Au 3.63, 2 Te 3.72, 2 Rb 3.77
Rb (0.2266, 0.7734, 0.7500)  4 Se 3.53, 2 Au 3.63, 2 Te 3.72, 2 Rb 3.77
Se (0.3895, 0.6105, 0.0347)  1 Au 2.54, 2 Ta 2.67
Se (0.3895, 0.6105, 0.4653)  1 Au 2.54, 2 Ta 2.67
Se (0.6105, 0.3895, 0.5347)  1 Au 2.54, 2 Ta 2.67
Se (0.6105, 0.3895, 0.9653)  1 Au 2.54, 2 Ta 2.67
Ta (0.0000, 0.0000, 0.0000)  4 Se 2.67, 2 Te 2.97
Ta (0.0000, 0.0000, 0.5000)  4 Se 2.67, 2 Te 2.97
Te (0.0824, 0.9176, 0.2500)  2 Au 2.81, 2 Ta 2.97
Te (0.9176, 0.0824, 0.7500)  2 Au 2.81, 2 Ta 2.97

Properties
- magnetization (μB per formula unit) = 0.019
- mass density (g/cm3) = 7.49
- total DFT energy (no corrections) (eV/atom) = -4.863

=====

2.
DFT (PBE-GGA) results for a relaxed HfInB crystal.

a b c (Å): 4.5155 4.5155 4.5155
angles (deg): 60.00 60.00 60.00
Closest atoms and distances in Å follow each position.
Fractional coordinates of all 3 atoms:
B (0.2500, 0.2500, 0.2500)  4 Hf 2.77
Hf (0.0000, 0.0000, 0.0000)  4 B 2.77, 4 In 2.77
In (0.7500, 0.7500, 0.7500)  4 Hf 2.77

Properties
- offset from the most stable computed form (eV/atom) = 0.7367
- magnetization (μB per formula unit) = 0.000
- mass density (g/cm3) = 7.76

=====

3.
DFT (PBE-GGA) results for a relaxed LuCdFePb crystal.

a b c (Å): 4.9519 4.9519 4.9519
angles (deg): 60.00 60.00 60.00
Closest atoms and distances in Å follow each position.
Fractional coordinates of all 4 atoms:
Cd (0.5000, 0.5000, 0.5000)  4 Fe 3.03, 4 Lu 3.03
Fe (0.7500, 0.7500, 0.7500)  4 Cd 3.03, 4 Pb 3.03
Lu (0.2500, 0.2500, 0.2500)  4 Cd 3.03, 4 Pb 3.03
Pb (0.0000, 0.0000, 0.0000)  4 Fe 3.03, 4 Lu 3.03

Properties
- offset from the most stable computed form (eV/atom) = 0.0000
- magnetization (μB per formula unit) = 2.633
- mass density (g/cm3) = 10.64

=====

4.
DFT (PBE-GGA) results for a relaxed LiCuSnTeS2 crystal.

a b c (Å): 6.7561 6.7561 11.1031
angles (deg): 90.00 90.00 148.98
Closest atoms and distances in Å follow each position.
Fractional coordinates of all 12 atoms:
Cu (0.5413, 0.4587, 0.2500)  2 S 2.26
Cu (0.4587, 0.5413, 0.7500)  2 S 2.26
Li (0.2005, 0.7995, 0.2500)  2 Cu 2.75, 4 S 2.78, 2 Te 3.08
Li (0.7995, 0.2005, 0.7500)  2 Cu 2.75, 4 S 2.78, 2 Te 3.08
S (0.6326, 0.3674, 0.0771)  1 Cu 2.26
S (0.6326, 0.3674, 0.4229)  1 Cu 2.26
S (0.3674, 0.6326, 0.5771)  1 Cu 2.26
S (0.3674, 0.6326, 0.9229)  1 Cu 2.26
Sn (0.0000, 0.0000, 0.0000)  4 S 2.64
Sn (0.0000, 0.0000, 0.5000)  4 S 2.64
Te (0.8919, 0.1081, 0.2500)  2 Cu 2.66
Te (0.1081, 0.8919, 0.7500)  2 Cu 2.66

Properties
- mass density (g/cm3) = 4.84
- total DFT energy (no corrections) (eV/atom) = -3.908

=====

5.
DFT (PBE-GGA) results for a relaxed YLu2Cu4Ge4 crystal.

a b c (Å): 7.9263 7.9263 7.9263
angles (deg): 149.77 130.24 59.34
Closest atoms and distances in Å follow each position.
Fractional coordinates of all 11 atoms:
Cu (0.6383, 0.3299, 0.3084)  4 Ge 2.47-2.57, 1 Cu 2.56
Cu (0.9785, 0.6701, 0.3084)  4 Ge 2.47-2.57, 1 Cu 2.56
Cu (0.0215, 0.3299, 0.6916)  4 Ge 2.47-2.57, 1 Cu 2.56
Cu (0.3617, 0.6701, 0.6916)  4 Ge 2.47-2.57, 1 Cu 2.56
Ge (0.2183, 0.2183, 0.0000)  6 Cu 2.52-2.57
Ge (0.7817, 0.7817, 0.0000)  6 Cu 2.52-2.57
Ge (0.6898, 0.5000, 0.1898)  2 Cu 2.47, 1 Ge 2.53
Ge (0.3102, 0.5000, 0.8102)  2 Cu 2.47, 1 Ge 2.53
Lu (0.6292, 0.1292, 0.5000)  6 Ge 2.95-3.01, 6 Cu 2.97-3.05
Lu (0.3708, 0.8708, 0.5000)  6 Ge 2.95-3.01, 6 Cu 2.97-3.05
Y (0.0000, 0.0000, 0.0000)  6 Ge 2.92-3.01

Properties
- magnetization (μB per formula unit) = 0.004
- mass density (g/cm3) = 8.60
- total DFT energy (no corrections) (eV/atom) = -5.061

=====

6.
DFT (PBE-GGA) results for a relaxed Cu7Ag3 crystal.

a b c (Å): 4.6817 4.6817 8.5708
angles (deg): 91.97 91.97 46.79
Closest atoms and distances in Å follow each position.
Fractional coordinates of all 10 atoms:
Ag (0.0000, 0.0000, 0.0000)  6 Ag 2.76, 6 Cu 2.83-2.89
Ag (0.3012, 0.3012, 0.1222)  6 Cu 2.67-2.73, 5 Ag 2.76-2.91
Ag (0.6988, 0.6988, 0.8778)  6 Cu 2.67-2.73, 5 Ag 2.76-2.91
Cu (0.6042, 0.6042, 0.2297)  6 Cu 2.51-2.71, 3 Ag 2.70-2.73
Cu (0.9097, 0.9097, 0.3212)  9 Cu 2.50-2.72, 2 Ag 2.67
Cu (0.2017, 0.2017, 0.4130)  11 Cu 2.50-2.72, 1 Ag 2.67
Cu (0.5000, 0.5000, 0.5000)  12 Cu 2.51-2.67
Cu (0.7983, 0.7983, 0.5870)  11 Cu 2.50-2.72, 1 Ag 2.67
Cu (0.0903, 0.0903, 0.6788)  9 Cu 2.50-2.72, 2 Ag 2.67
Cu (0.3958, 0.3958, 0.7703)  6 Cu 2.51-2.71, 3 Ag 2.70-2.73

Properties
- offset from the most stable computed form (eV/atom) = 0.0270
- mass density (g/cm3) = 9.33